## ZnHgF5 (PBE)

Data for a relaxed ZnHgF5 crystal.

Its energy relative to the elements, uncorrected is -1.6081 eV per atom. The calculation puts the uncorrected energy at -3.17 eV/atom.

It has space group C2/c (No. 15), with a = 9.004 Å, b = 6.636 Å, c = 7.770 Å, α = 90.00°, β = 115.36° and γ = 90.00°. The inequivalent atoms are Zn at (0.000, 0.000, 0.000), Hg at (0.000, 0.454, 0.250), F at (0.000, 0.082, 0.250), F at (0.019, 0.297, 0.971) and F at (0.243, 0.038, 0.628).